{"formula": "CoHNO2", "functional": "GGA+U", "state": "optimized geometry", "magnetic_moment_mub_per_cell": 1.70, "e_tot_ev_per_atom": -4.1511, "lattice": [[3.710, 0.000, 0.000], [0.000, 3.710, 0.000], [0.000, 0.000, 3.432]], "species": ["H", "Co", "O", "O", "N"], "fractional_positions": [[0.500, 0.500, 0.500], [0.000, 0.000, 0.000], [0.000, 0.500, 0.000], [0.500, 0.000, 0.000], [0.000, 0.000, 0.500]]}